[1]
## HfInCu (GGA-PBE)

Data for a relaxed HfInCu crystal.

Cell: 5.193 3.210 7.070 Å, 90.00 94.70 90.00°
Space group P2_1/m (No. 11)
Symmetry-distinct sites (fractional):
Hf: 0.120 0.250 0.342
In: 0.383 0.250 0.744
Cu: 0.183 0.750 0.021

Computed properties:
The calculation puts the calculated formation energy at -0.0329 eV per atom. As for the crystal system: monoclinic. The volume is 117.4 Å³/cell. The calculation puts the total energy at -5.6290 eV per atom.


[2]
## Hf4InCu (GGA-PBE)

Data for a relaxed Hf4InCu crystal.

Cell: 6.750 6.750 5.457 Å, 90.00 90.00 90.00°
Space group P4/mcc (No. 124)
Symmetry-distinct sites (fractional):
Hf: 0.139 0.330 0.000
In: 0.500 0.500 0.250
Cu: 0.000 0.000 0.250

Computed properties:
The calculation puts the calculated formation energy at -0.0321 eV per atom. As for the crystal system: tetragonal. The volume is 248.6 Å³/cell. The value obtained for the energy above the most stable polymorph in this dataset is 0.75 eV per formula unit. The calculation puts the total energy at -7.8068 eV per atom.


[3]
## HfIn3Cu (GGA-PBE)

Data for a relaxed HfIn3Cu crystal.

Cell: 5.592 5.592 5.592 Å, 90.00 90.00 90.00°
Space group Pm-3m (No. 221)
Symmetry-distinct sites (fractional):
Hf: 0.000 0.000 0.000
In: 0.000 0.000 0.500
Cu: 0.500 0.500 0.500

Computed properties:
The calculation puts the calculated formation energy at 1.0029 eV per atom. As for the crystal system: cubic. The volume is 174.8 Å³/cell. The value obtained for the energy above the most stable polymorph in this dataset is 2.51 eV per formula unit. The calculation puts the total energy at -3.4501 eV per atom.


[4]
## HfIn2Cu2 (GGA-PBE)

Data for a relaxed HfIn2Cu2 crystal.

Cell: 7.519 7.519 3.212 Å, 90.00 90.00 90.00°
Space group P4/mbm (No. 127)
Symmetry-distinct sites (fractional):
Hf: 0.000 0.000 0.000
In: 0.179 0.321 0.500
Cu: 0.119 0.619 0.000

Computed properties:
The calculation puts the calculated formation energy at 0.0241 eV per atom. As for the crystal system: tetragonal. The volume is 181.6 Å³/cell. The value obtained for the energy above the most stable polymorph in this dataset is 0.00 eV per formula unit. The calculation puts the total energy at -4.7005 eV per atom.


[5]
## HfInCu (GGA-PBE)

Data for a relaxed HfInCu crystal.

Cell: 11.245 3.267 7.803 Å, 90.00 127.26 90.00°
Space group Cm (No. 8)
Symmetry-distinct sites (fractional):
Hf: 0.000 0.000 0.000
Hf: 0.200 0.000 0.677
In: 0.257 0.500 0.044
In: 0.262 0.500 0.413
Cu: 0.484 0.000 0.686
Cu: 0.487 0.000 0.338

Computed properties:
The calculation puts the calculated formation energy at -0.0515 eV per atom. As for the crystal system: monoclinic. The volume is 228.2 Å³/cell. The calculation puts the total energy at -5.6475 eV per atom.


[6]
## HfIn2Cu2 (GGA-PBE)

Data for a relaxed HfIn2Cu2 crystal.

Cell: 7.861 7.861 2.981 Å, 90.00 90.00 90.00°
Space group P4/mbm (No. 127)
Symmetry-distinct sites (fractional):
Hf: 0.000 0.000 0.000
In: 0.136 0.364 0.000
Cu: 0.165 0.665 0.500

Computed properties:
The calculation puts the calculated formation energy at 0.1366 eV per atom. As for the crystal system: tetragonal. The volume is 184.2 Å³/cell. The value obtained for the energy above the most stable polymorph in this dataset is 0.56 eV per formula unit. The calculation puts the total energy at -4.5879 eV per atom.


[7]
## HfInCu (GGA-PBE)

Data for a relaxed HfInCu crystal.

Cell: 11.578 3.343 7.487 Å, 90.00 128.42 90.00°
Space group C2/m (No. 12)
Symmetry-distinct sites (fractional):
Hf: 0.103 0.000 0.378
In: 0.152 0.500 0.078
Cu: 0.120 0.500 0.689

Computed properties:
The calculation puts the calculated formation energy at -0.1260 eV per atom. As for the crystal system: monoclinic. The volume is 227.0 Å³/cell. The calculation puts the total energy at -5.7220 eV per atom.


[8]
## HfIn2Cu2 (GGA-PBE)

Data for a relaxed HfIn2Cu2 crystal.

Cell: 3.907 3.907 12.481 Å, 90.00 90.00 90.00°
Space group I4/mmm (No. 139)
Symmetry-distinct sites (fractional):
Hf: 0.000 0.000 0.000
In: 0.000 0.000 0.389
Cu: 0.000 0.500 0.250

Computed properties:
The calculation puts the calculated formation energy at 0.1793 eV per atom. As for the crystal system: tetragonal. The volume is 190.5 Å³/cell. The value obtained for the energy above the most stable polymorph in this dataset is 0.78 eV per formula unit. The calculation puts the total energy at -4.5452 eV per atom.